Computed, not measured: a relaxed BaCu3I crystal at the PBE level of DFT.

M_tot ... 0.0 Bohr magnetons per cell
Offset from the most stable computed form ... 3.01 eV/f.u.
Formation energy from raw total energies ... 1172 meV per atom

```
BaCu3I
1.0
5.704 0.000 0.000
0.000 5.704 0.000
0.000 0.000 5.704
I Ba Cu
1 1 3
Direct
0.500 0.500 0.500
0.000 0.000 0.000
0.000 0.500 0.000
0.000 0.000 0.500
0.500 0.000 0.000
```